# 1
The following is a DFT calculation (PBE-GGA) of a relaxed structure of KCaIr2.

Calculated values
- energy of formation (eV/f.u.) = 2.5
- E above lowest polymorph (meV/atom) = 414

abc: 4.0975 4.0975 4.7360
angles: 90.00 90.00 90.00
Fractional positions:
1 K 0.0000 0.0000 0.0000
2 Ca 0.5000 0.5000 0.0000
3 Ir 0.0000 0.5000 0.5000
4 Ir 0.5000 0.0000 0.5000

# 2
The following is a DFT calculation (PBE-GGA) of a relaxed structure of UPaAl.

Calculated values
- energy of formation (eV/f.u.) = -0.1
- E above lowest polymorph (meV/atom) = 0

abc: 4.8971 4.8971 2.8530
angles: 90.00 90.00 120.00
Fractional positions:
1 U 0.0000 0.0000 0.0000
2 Pa 0.6667 0.3333 0.0000
3 Al 0.3333 0.6667 0.5000

# 3
The following is a DFT calculation (PBE-GGA) of a relaxed structure of AcCuSi2Ni.

Calculated values
- raw formation energy (eV/f.u.) = -2.86

abc: 4.2629 4.2629 9.8131
angles: 90.00 90.00 90.00
Fractional positions:
1 Ac 0.0000 0.0000 0.0000
2 Ac 0.5000 0.5000 0.5000
3 Cu 0.0000 0.5000 0.7500
4 Cu 0.5000 0.0000 0.2500
5 Si 0.0000 0.0000 0.3694
6 Si 0.0000 0.0000 0.6306
7 Si 0.5000 0.5000 0.1306
8 Si 0.5000 0.5000 0.8694
9 Ni 0.0000 0.5000 0.2500
10 Ni 0.5000 0.0000 0.7500

# 4
The following is a DFT calculation (PBE-GGA) of a relaxed structure of Dy7YMg4.

Calculated values
- energy of formation (eV/f.u.) = 2.1

abc: 8.0553 8.0553 9.6792
angles: 119.45 119.45 41.66
Fractional positions:
1 Dy 0.0000 0.0000 0.0000
2 Dy 0.2483 0.2483 0.7099
3 Dy 0.2970 0.2970 0.1219
4 Dy 0.4202 0.4202 0.5750
5 Dy 0.5798 0.5798 0.4250
6 Dy 0.7030 0.7030 0.8781
7 Dy 0.7517 0.7517 0.2901
8 Y 0.5000 0.5000 0.0000
9 Mg 0.0418 0.0418 0.6986
10 Mg 0.1748 0.1748 0.3451
11 Mg 0.8252 0.8252 0.6549
12 Mg 0.9582 0.9582 0.3014

# 5
The following is a DFT calculation (PBE-GGA) of a relaxed structure of SmSc2Zn6.

Calculated values
- energy of formation (eV/f.u.) = -3.0

abc: 7.6950 7.6950 3.2909
angles: 90.00 90.00 120.00
Fractional positions:
1 Sm 0.0000 0.0000 0.0000
2 Sc 0.3333 0.6667 0.0000
3 Sc 0.6667 0.3333 0.0000
4 Zn 0.0000 0.3398 0.5000
5 Zn 0.0000 0.6602 0.5000
6 Zn 0.3398 0.0000 0.5000
7 Zn 0.3398 0.3398 0.5000
8 Zn 0.6602 0.0000 0.5000
9 Zn 0.6602 0.6602 0.5000

# 6
The following is a DFT calculation (PBE-GGA) of a relaxed structure of BaZrIn2.

Calculated values
- energy of formation (eV/f.u.) = 0.3
- E above lowest polymorph (meV/atom) = 313

abc: 3.4052 5.8063 11.6668
angles: 90.00 90.00 90.00
Fractional positions:
1 Ba 0.0000 0.0000 0.0000
2 Ba 0.5000 0.5000 0.5000
3 Zr 0.0000 0.5000 0.2212
4 Zr 0.5000 0.0000 0.7212
5 In 0.0000 0.0000 0.4972
6 In 0.0000 0.5000 0.7700
7 In 0.5000 0.0000 0.2700
8 In 0.5000 0.5000 0.9972

# 7
The following is a DFT calculation (PBE-GGA) of a relaxed structure of BaMnTe2Os.

Calculated values
- raw formation energy (eV/f.u.) = 1.08

abc: 5.4165 5.4165 4.6232
angles: 90.00 90.00 90.00
Fractional positions:
1 Ba 0.0000 0.0000 0.0000
2 Mn 0.5000 0.5000 0.5000
3 Te 0.0000 0.5000 0.5000
4 Te 0.5000 0.0000 0.5000
5 Os 0.5000 0.5000 0.0000

# 8
The following is a DFT calculation (PBE-GGA) of a relaxed structure of Sc5Tl.

Calculated values
- energy of formation (eV/f.u.) = -0.4
- E above lowest polymorph (meV/atom) = 49

abc: 3.3320 3.3320 13.0773
angles: 90.00 90.00 90.00
Fractional positions:
1 Sc 0.0000 0.0000 0.0000
2 Sc 0.0000 0.0000 0.3399
3 Sc 0.0000 0.0000 0.6601
4 Sc 0.5000 0.5000 0.1720
5 Sc 0.5000 0.5000 0.8280
6 Tl 0.5000 0.5000 0.5000